(1)
The following is a GGA-PBE calculation of a geometry-optimized CeHoCoCu structure, from the Alexandria database.

Magnetic moment = 0.115 μB per cell
Formation enthalpy at 0 K = -0.132 eV per atom
Symmetry = No. 216
Crystal system = cubic

The structure in POSCAR format:
```
CeHoCoCu
1.0
0.0000 3.4137 3.4137
3.4137 0.0000 3.4137
3.4137 3.4137 0.0000
Ce Ho Co Cu
1 1 1 1
Direct
0.0000 0.0000 0.0000
0.5000 0.5000 0.5000
0.7500 0.7500 0.7500
0.2500 0.2500 0.2500
```



(2)
The following is a GGA-PBE calculation of a geometry-optimized CeMgCoCu structure, from the Alexandria database.

Magnetic moment = 0.082 μB per cell
Formation enthalpy at 0 K = -0.028 eV per atom
Symmetry = No. 216
Crystal system = cubic

The structure in POSCAR format:
```
CeMgCoCu
1.0
0.0000 3.2945 3.2945
3.2945 0.0000 3.2945
3.2945 3.2945 0.0000
Ce Mg Co Cu
1 1 1 1
Direct
0.0000 0.0000 0.0000
0.5000 0.5000 0.5000
0.2500 0.2500 0.2500
0.7500 0.7500 0.7500
```



(3)
The following is a GGA-PBE calculation of a geometry-optimized CeNdCoCu structure, from the Alexandria database.

Magnetic moment = 0.284 μB per cell
Formation enthalpy at 0 K = -0.033 eV per atom
Symmetry = No. 216
Crystal system = cubic

The structure in POSCAR format:
```
CeNdCoCu
1.0
0.0000 3.4819 3.4819
3.4819 0.0000 3.4819
3.4819 3.4819 0.0000
Ce Nd Co Cu
1 1 1 1
Direct
0.0000 0.0000 0.0000
0.5000 0.5000 0.5000
0.7500 0.7500 0.7500
0.2500 0.2500 0.2500
```



Which of these has the lowest magnetic moment? CeMgCoCu



Among the records above, which one has the highest formation enthalpy at 0 K? CeMgCoCu



Which formula does entry 2 have? CeMgCoCu